# 1
VASP calculation (PBE) on an optimized crystal structure of NaCa3Ga.

Summary:
Energy relative to the elements ... 0.545 eV/atom
Space group ... Pm-3m (221)
Total magnetic moment ... 0.00 μB per formula unit
E_tot ... -7.63 eV for the cell shown
Energy relative to the lowest polymorph listed for this composition ... 630 meV per atom

Cell: 5.8908 5.8908 5.8908 Å, 90.00 90.00 90.00°
With the nearest neighbours (Å) after each atom.
Element x y z (fractional)
Na (0.0000, 0.0000, 0.0000)  6 Ca 2.95
Ca (0.0000, 0.0000, 0.5000)  2 Na 2.95
Ca (0.0000, 0.5000, 0.0000)  2 Na 2.95
Ca (0.5000, 0.0000, 0.0000)  2 Na 2.95
Ga (0.5000, 0.5000, 0.5000)  12 Ca 4.17

***

# 2
VASP calculation (PBE) on an optimized crystal structure of NaCa4Ga2.

Summary:
Energy relative to the elements ... -0.219 eV/atom
Space group ... R-3m (166)
Total magnetic moment ... 0.63 μB per formula unit
E_tot ... -16.91 eV for the cell shown

Cell: 9.0877 9.0877 9.0877 Å, 34.24 34.24 34.24°
With the nearest neighbours (Å) after each atom.
Element x y z (fractional)
Na (0.0000, 0.0000, 0.0000)  8 Ca 3.36-3.37, 6 Ga 3.69
Ca (0.1314, 0.1314, 0.1314)  4 Ga 3.16-3.37, 1 Na 3.37
Ca (0.3844, 0.3844, 0.3844)  4 Ga 3.17-3.33, 3 Na 3.36
Ca (0.6156, 0.6156, 0.6156)  4 Ga 3.17-3.33, 3 Na 3.36
Ca (0.8686, 0.8686, 0.8686)  4 Ga 3.16-3.37, 1 Na 3.37
Ga (0.2547, 0.2547, 0.2547)  8 Ca 3.16-3.37
Ga (0.7453, 0.7453, 0.7453)  8 Ca 3.16-3.37

***

# 3
VASP calculation (PBE) on an optimized crystal structure of Na2CaGa.

Summary:
Energy relative to the elements ... 0.028 eV/atom
Space group ... I-42d (122)
Total magnetic moment ... 0.00 μB per formula unit
E_tot ... -15.11 eV for the cell shown

Cell: 12.5043 12.5043 12.5043 Å, 159.36 159.36 29.35°
With the nearest neighbours (Å) after each atom.
Element x y z (fractional)
Na (0.0968, 0.6250, 0.9718)  4 Na 2.99-3.35
Na (0.3750, 0.3468, 0.4718)  4 Na 2.99-3.35
Na (0.6532, 0.1250, 0.0282)  4 Na 2.99-3.35
Na (0.8750, 0.9032, 0.5282)  4 Na 2.99-3.35
Ca (0.2500, 0.7500, 0.5000)  4 Ga 3.17, 4 Na 3.46
Ca (0.5000, 0.5000, 0.0000)  4 Ga 3.17, 4 Na 3.46
Ga (0.0000, 0.0000, 0.0000)  4 Ca 3.17, 4 Na 3.37
Ga (0.7500, 0.2500, 0.5000)  4 Ca 3.17, 4 Na 3.37

***

# 4
VASP calculation (PBE) on an optimized crystal structure of Na2Ca2Ga.

Summary:
Energy relative to the elements ... 0.017 eV/atom
Space group ... I4/mmm (139)
Total magnetic moment ... 0.00 μB per formula unit
E_tot ... -9.58 eV for the cell shown
Energy relative to the lowest polymorph listed for this composition ... 0 meV per atom

Cell: 10.4431 10.4431 10.4431 Å, 157.79 157.79 31.61°
With the nearest neighbours (Å) after each atom.
Element x y z (fractional)
Na (0.2500, 0.7500, 0.5000)  4 Na 2.84
Na (0.7500, 0.2500, 0.5000)  4 Na 2.84
Ca (0.0846, 0.0846, 0.0000)  4 Ga 3.31, 1 Ca 3.40
Ca (0.9154, 0.9154, 0.0000)  4 Ga 3.31, 1 Ca 3.40
Ga (0.5000, 0.5000, 0.0000)  8 Ca 3.31

***

# 5
VASP calculation (PBE) on an optimized crystal structure of NaCa3Ga.

Summary:
Energy relative to the elements ... -0.085 eV/atom
Space group ... Pm-3m (221)
Total magnetic moment ... 0.00 μB per formula unit
E_tot ... -10.78 eV for the cell shown
Energy relative to the lowest polymorph listed for this composition ... 0 meV per atom

Cell: 5.8711 5.8711 5.8711 Å, 90.00 90.00 90.00°
With the nearest neighbours (Å) after each atom.
Element x y z (fractional)
Na (0.0000, 0.0000, 0.0000)  12 Ca 4.15
Ca (0.0000, 0.5000, 0.5000)  2 Ga 2.94
Ca (0.5000, 0.0000, 0.5000)  2 Ga 2.94
Ca (0.5000, 0.5000, 0.0000)  2 Ga 2.94
Ga (0.5000, 0.5000, 0.5000)  6 Ca 2.94

***

# 6
VASP calculation (PBE) on an optimized crystal structure of Na2Ca5Ga2.

Summary:
Energy relative to the elements ... -0.191 eV/atom
Space group ... Cmce (64)
Total magnetic moment ... 0.00 μB per formula unit
E_tot ... -40.85 eV for the cell shown

Cell: 10.3219 10.3219 8.1373 Å, 90.00 90.00 46.61°
With the nearest neighbours (Å) after each atom.
Element x y z (fractional)
Na (0.2289, 0.2289, 0.0000)  6 Ca 3.73-3.81, 4 Na 4.15-4.16
Na (0.2711, 0.2711, 0.5000)  6 Ca 3.73-3.81, 4 Na 4.15-4.16
Na (0.7289, 0.7289, 0.5000)  6 Ca 3.73-3.81, 4 Na 4.15-4.16
Na (0.7711, 0.7711, 0.0000)  6 Ca 3.73-3.81, 4 Na 4.15-4.16
Ca (0.0000, 0.0000, 0.0000)  4 Ga 3.26-3.27, 8 Ca 3.61
Ca (0.0704, 0.7181, 0.6758)  3 Ga 3.11-3.16
Ca (0.2181, 0.5704, 0.1758)  3 Ga 3.11-3.16
Ca (0.2819, 0.9296, 0.6758)  3 Ga 3.11-3.16
Ca (0.4296, 0.7819, 0.1758)  3 Ga 3.11-3.16
Ca (0.5000, 0.5000, 0.5000)  4 Ga 3.26-3.27, 8 Ca 3.61
Ca (0.5704, 0.2181, 0.8242)  3 Ga 3.11-3.16
Ca (0.7181, 0.0704, 0.3242)  3 Ga 3.11-3.16
Ca (0.7819, 0.4296, 0.8242)  3 Ga 3.11-3.16
Ca (0.9296, 0.2819, 0.3242)  3 Ga 3.11-3.16
Ga (0.1175, 0.8825, 0.3824)  1 Ga 2.71
Ga (0.3825, 0.6175, 0.8824)  1 Ga 2.71
Ga (0.6175, 0.3825, 0.1176)  1 Ga 2.71
Ga (0.8825, 0.1175, 0.6176)  1 Ga 2.71

***

# 7
VASP calculation (PBE) on an optimized crystal structure of NaCa3Ga8.

Summary:
Energy relative to the elements ... -0.378 eV/atom
Space group ... R3m (160)
Total magnetic moment ... 0.00 μB per formula unit
E_tot ... -36.08 eV for the cell shown

Cell: 9.8525 9.8525 9.8525 Å, 32.99 32.99 32.99°
With the nearest neighbours (Å) after each atom.
Element x y z (fractional)
Na (0.0000, 0.0000, 0.0000)  12 Ga 3.28-3.32, 4 Ca 3.41
Ca (0.1222, 0.1222, 0.1222)  12 Ga 3.26-3.40, 1 Na 3.41, 3 Ca 3.46
Ca (0.5002, 0.5002, 0.5002)  12 Ga 3.28-3.33, 4 Ca 3.46-3.56
Ca (0.6277, 0.6277, 0.6277)  12 Ga 3.26-3.33, 3 Na 3.41, 1 Ca 3.56
Ga (0.0628, 0.0628, 0.5624)  6 Ga 2.79-2.84
Ga (0.0628, 0.5624, 0.0628)  6 Ga 2.79-2.84
Ga (0.0629, 0.5622, 0.5622)  6 Ga 2.79-2.83
Ga (0.3131, 0.3131, 0.3131)  6 Ga 2.82-2.84
Ga (0.5624, 0.0628, 0.0628)  6 Ga 2.79-2.84
Ga (0.5622, 0.0629, 0.5622)  6 Ga 2.79-2.83
Ga (0.5622, 0.5622, 0.0629)  6 Ga 2.79-2.83
Ga (0.8124, 0.8124, 0.8124)  6 Ga 2.83-2.84

***

# 8
VASP calculation (PBE) on an optimized crystal structure of Na2Ca2Ga.

Summary:
Energy relative to the elements ... 0.085 eV/atom
Space group ... P4/mbm (127)
Total magnetic moment ... 0.00 μB per formula unit
E_tot ... -18.48 eV for the cell shown
Energy relative to the lowest polymorph listed for this composition ... 69 meV per atom

Cell: 7.7999 7.7999 5.2168 Å, 90.00 90.00 90.00°
With the nearest neighbours (Å) after each atom.
Element x y z (fractional)
Na (0.1343, 0.3657, 0.0000)  1 Na 2.96, 2 Ga 3.04, 2 Ca 3.27
Na (0.3657, 0.8657, 0.0000)  1 Na 2.96, 2 Ga 3.04, 2 Ca 3.27
Na (0.6343, 0.1343, 0.0000)  1 Na 2.96, 2 Ga 3.04, 2 Ca 3.27
Na (0.8657, 0.6343, 0.0000)  1 Na 2.96, 2 Ga 3.04, 2 Ca 3.27
Ca (0.1874, 0.6874, 0.5000)  6 Na 3.27-3.64
Ca (0.3126, 0.1874, 0.5000)  6 Na 3.27-3.64
Ca (0.6874, 0.8126, 0.5000)  6 Na 3.27-3.64
Ca (0.8126, 0.3126, 0.5000)  6 Na 3.27-3.64
Ga (0.0000, 0.0000, 0.0000)  4 Na 3.04
Ga (0.5000, 0.5000, 0.0000)  4 Na 3.04

***

# 9
VASP calculation (PBE) on an optimized crystal structure of Na3CaGa.

Summary:
Energy relative to the elements ... 0.198 eV/atom
Space group ... Pm-3m (221)
Total magnetic moment ... 0.00 μB per formula unit
E_tot ... -8.00 eV for the cell shown
Energy relative to the lowest polymorph listed for this composition ... 0 meV per atom

Cell: 5.6765 5.6765 5.6765 Å, 90.00 90.00 90.00°
With the nearest neighbours (Å) after each atom.
Element x y z (fractional)
Na (0.0000, 0.0000, 0.5000)  2 Ga 2.84
Na (0.0000, 0.5000, 0.0000)  2 Ga 2.84
Na (0.5000, 0.0000, 0.0000)  2 Ga 2.84
Ca (0.5000, 0.5000, 0.5000)  12 Na 4.01
Ga (0.0000, 0.0000, 0.0000)  6 Na 2.84

***

# 10
VASP calculation (PBE) on an optimized crystal structure of NaCa2GaNi.

Summary:
Energy relative to the elements ... -0.160 eV/atom
Space group ... P4/mmm (123)
Total magnetic moment ... 0.00 μB per formula unit
E_tot ... -14.93 eV for the cell shown

Cell: 5.4668 5.4668 4.6600 Å, 90.00 90.00 90.00°
With the nearest neighbours (Å) after each atom.
Element x y z (fractional)
Na (0.0000, 0.0000, 0.0000)  8 Ca 3.59, 4 Ga 3.87
Ca (0.0000, 0.5000, 0.5000)  2 Ni 2.73
Ca (0.5000, 0.0000, 0.5000)  2 Ni 2.73
Ga (0.5000, 0.5000, 0.0000)  2 Ni 2.33
Ni (0.5000, 0.5000, 0.5000)  2 Ga 2.33

***

# 11
VASP calculation (PBE) on an optimized crystal structure of NaCa2GaO4.

Summary:
Space group ... Cmcm (63)
Total magnetic moment ... 0.06 μB per formula unit
Energy relative to the elements, uncorrected ... -2313 meV/atom
E_tot ... -93.37 eV for the cell shown

Cell: 6.1272 6.1272 11.8890 Å, 90.00 90.00 148.59°
With the nearest neighbours (Å) after each atom.
Element x y z (fractional)
Na (0.0981, 0.9019, 0.7500)  6 O 2.68-2.86
Na (0.9019, 0.0981, 0.2500)  6 O 2.68-2.86
Ca (0.3714, 0.6286, 0.5328)  5 O 2.28-2.45
Ca (0.3714, 0.6286, 0.9672)  5 O 2.28-2.45
Ca (0.6286, 0.3714, 0.0328)  5 O 2.28-2.45
Ca (0.6286, 0.3714, 0.4672)  5 O 2.28-2.45
Ga (0.1695, 0.8305, 0.2500)  4 O 1.83-1.96
Ga (0.8305, 0.1695, 0.7500)  4 O 1.83-1.96
O (0.0000, 0.0000, 0.0000)  4 Ca 2.28
O (0.0000, 0.0000, 0.5000)  4 Ca 2.28
O (0.2534, 0.7466, 0.1202)  1 Ga 1.83
O (0.2534, 0.7466, 0.3798)  1 Ga 1.83
O (0.4192, 0.5808, 0.7500)  2 Ga 1.96
O (0.5808, 0.4192, 0.2500)  2 Ga 1.96
O (0.7466, 0.2534, 0.6202)  1 Ga 1.83
O (0.7466, 0.2534, 0.8798)  1 Ga 1.83

***

# 12
VASP calculation (PBE) on an optimized crystal structure of NaCa2GaO.

Summary:
Space group ... P4/mmm (123)
Total magnetic moment ... 0.00 μB per formula unit
Energy relative to the elements, uncorrected ... -1164 meV/atom
E_tot ... -19.13 eV for the cell shown

Cell: 4.6952 4.6952 4.9565 Å, 90.00 90.00 90.00°
With the nearest neighbours (Å) after each atom.
Element x y z (fractional)
Na (0.0000, 0.0000, 0.0000)  2 O 2.48
Ca (0.0000, 0.5000, 0.5000)  2 O 2.35
Ca (0.5000, 0.0000, 0.5000)  2 O 2.35
Ga (0.5000, 0.5000, 0.0000)  4 Na 3.32, 8 Ca 3.41
O (0.0000, 0.0000, 0.5000)  4 Ca 2.35, 2 Na 2.48

***

# 13
VASP calculation (PBE) on an optimized crystal structure of NaCaGaPb.

Summary:
Energy relative to the elements ... -0.268 eV/atom
Space group ... F-43m (216)
Total magnetic moment ... 0.00 μB per formula unit
E_tot ... -11.13 eV for the cell shown

Cell: 5.3387 5.3387 5.3387 Å, 60.00 60.00 60.00°
With the nearest neighbours (Å) after each atom.
Element x y z (fractional)
Na (0.0000, 0.0000, 0.0000)  4 Ga 3.27, 4 Pb 3.27
Ca (0.5000, 0.5000, 0.5000)  4 Ga 3.27, 4 Pb 3.27
Ga (0.7500, 0.7500, 0.7500)  4 Na 3.27, 4 Ca 3.27
Pb (0.2500, 0.2500, 0.2500)  4 Na 3.27, 4 Ca 3.27